i.
# TlSn3O (GGA-PBE, optimized geometry)
# - Mass density: 7866 kg/m³
# - Spin magnetization: 0.000 μB per formula unit
data_TlSn3O
_cell_length_a 4.956
_cell_length_b 4.956
_cell_length_c 4.956
_cell_angle_alpha 90.00
_cell_angle_beta 90.00
_cell_angle_gamma 90.00
_space_group_name_H-M_alt 'P m -3 m'
_space_group_IT_number 221
_space_group_name_Hall '-P 4 2 3'
loop_
_atom_site_label
_atom_site_fract_x
_atom_site_fract_y
_atom_site_fract_z
Tl1 0.000 0.000 0.000
Sn1 0.000 0.500 0.500
O1 0.500 0.500 0.500



ii.
# TlSn3O (GGA-PBE, optimized geometry)
# - Mass density: 5092 kg/m³
# - Spin magnetization: 0.000 μB per formula unit
data_TlSn3O
_cell_length_a 5.729
_cell_length_b 5.729
_cell_length_c 5.729
_cell_angle_alpha 90.00
_cell_angle_beta 90.00
_cell_angle_gamma 90.00
_space_group_name_H-M_alt 'P m -3 m'
_space_group_IT_number 221
_space_group_name_Hall '-P 4 2 3'
loop_
_atom_site_label
_atom_site_fract_x
_atom_site_fract_y
_atom_site_fract_z
Tl1 0.000 0.000 0.000
Sn1 0.000 0.000 0.500
O1 0.500 0.500 0.500



i ends up most stable, edging out the next structure by 129.6 kJ/mol of atoms.



i.
# Tl3SnO (GGA-PBE, optimized geometry)
# - Mass density: 6337 kg/m³
# - Spin magnetization: 0.000 μB per formula unit
data_Tl3SnO
_cell_length_a 5.809
_cell_length_b 5.809
_cell_length_c 5.809
_cell_angle_alpha 90.00
_cell_angle_beta 90.00
_cell_angle_gamma 90.00
_space_group_name_H-M_alt 'P m -3 m'
_space_group_IT_number 221
_space_group_name_Hall '-P 4 2 3'
loop_
_atom_site_label
_atom_site_fract_x
_atom_site_fract_y
_atom_site_fract_z
Tl1 0.000 0.000 0.500
Sn1 0.000 0.000 0.000
O1 0.500 0.500 0.500



ii.
# Tl3SnO (GGA-PBE, optimized geometry)
# - Mass density: 9471 kg/m³
# - Spin magnetization: 0.000 μB per formula unit
data_Tl3SnO
_cell_length_a 5.080
_cell_length_b 5.080
_cell_length_c 5.080
_cell_angle_alpha 90.00
_cell_angle_beta 90.00
_cell_angle_gamma 90.00
_space_group_name_H-M_alt 'P m -3 m'
_space_group_IT_number 221
_space_group_name_Hall '-P 4 2 3'
loop_
_atom_site_label
_atom_site_fract_x
_atom_site_fract_y
_atom_site_fract_z
Tl1 0.000 0.000 0.500
Sn1 0.500 0.500 0.500
O1 0.000 0.000 0.000



ii ends up most stable, edging out the next structure by 71.7 kJ/mol of atoms.



i.
# Tl2SnO (GGA-PBE, optimized geometry)
# - Mass density: 9677 kg/m³
# - Spin magnetization: 0.000 μB per formula unit
data_Tl2SnO
_cell_length_a 7.199
_cell_length_b 7.199
_cell_length_c 7.199
_cell_angle_alpha 90.00
_cell_angle_beta 90.00
_cell_angle_gamma 90.00
_space_group_name_H-M_alt 'F m -3 m'
_space_group_IT_number 225
_space_group_name_Hall '-F 4 2 3'
loop_
_atom_site_label
_atom_site_fract_x
_atom_site_fract_y
_atom_site_fract_z
Tl1 0.250 0.250 0.250
Sn1 0.000 0.000 0.000
O1 0.000 0.000 0.500



ii.
# Tl2SnO (GGA-PBE, optimized geometry)
# - Mass density: 8787 kg/m³
# - Spin magnetization: 0.000 μB per formula unit
data_Tl2SnO
_cell_length_a 7.194
_cell_length_b 7.194
_cell_length_c 7.937
_cell_angle_alpha 90.00
_cell_angle_beta 90.00
_cell_angle_gamma 90.00
_space_group_name_H-M_alt 'I -4 2 d'
_space_group_IT_number 122
_space_group_name_Hall 'I -4 2bw'
loop_
_atom_site_label
_atom_site_fract_x
_atom_site_fract_y
_atom_site_fract_z
Tl1 0.170 0.250 0.125
Sn1 0.000 0.000 0.500
O1 0.000 0.000 0.000



ii ends up most stable, edging out the next structure by 35.7 kJ/mol of atoms.